Arrangement a

# BaNiW2

Crystalline BaNiW2 at its relaxed geometry (PBE, Alexandria). Values from VASP.

Computed properties:
The symmetry is Pm (6). The value obtained for the magnetic moment is 0.0 μB/f.u.

Geometry as Quantum ESPRESSO input:
```
&SYSTEM
  ibrav = 0, nat = 4, ntyp = 3
/
ATOMIC_SPECIES
W 183.84 W.upf
Ba 137.33 Ba.upf
Ni 58.69 Ni.upf
CELL_PARAMETERS angstrom
-1.116 0.190 3.023
2.885 -1.069 1.132
5.169 6.482 1.501
ATOMIC_POSITIONS angstrom
W 5.223 6.414 1.525
W 1.218 0.827 2.121
Ba 4.030 2.817 1.311
Ni 5.662 4.732 3.517
```

Arrangement b

# BaNiW2

Crystalline BaNiW2 at its relaxed geometry (PBE, Alexandria). Values from VASP.

Computed properties:
The symmetry is P4/mmm (123). The value obtained for the magnetic moment is 0.0 μB/f.u.

Geometry as Quantum ESPRESSO input:
```
&SYSTEM
  ibrav = 0, nat = 4, ntyp = 3
/
ATOMIC_SPECIES
Ni 58.69 Ni.upf
Ba 137.33 Ba.upf
W 183.84 W.upf
CELL_PARAMETERS angstrom
3.295 0.000 0.000
0.000 3.295 0.000
0.000 0.000 7.675
ATOMIC_POSITIONS angstrom
Ni 1.648 1.648 5.756
Ba 1.648 1.648 1.919
W 0.000 0.000 6.929
W 0.000 0.000 4.583
```

Arrangement c

# BaNiW2

Crystalline BaNiW2 at its relaxed geometry (PBE, Alexandria). Values from VASP.

Computed properties:
The symmetry is Immm (71). The value obtained for the magnetic moment is 0.0 μB/f.u.

Geometry as Quantum ESPRESSO input:
```
&SYSTEM
  ibrav = 0, nat = 4, ntyp = 3
/
ATOMIC_SPECIES
Ni 58.69 Ni.upf
W 183.84 W.upf
Ba 137.33 Ba.upf
CELL_PARAMETERS angstrom
6.337 -0.005 0.003
3.805 5.068 -0.003
-4.427 -3.822 2.440
ATOMIC_POSITIONS angstrom
Ni 2.225 1.888 1.218
W 0.434 0.217 0.000
W 4.637 2.315 0.000
Ba 3.491 -0.648 1.222
```

Least stable: arrangement c

Arrangement a

# BaNiW2

Crystalline BaNiW2 at its relaxed geometry (PBE, Alexandria). Values from VASP.

Computed properties:
The symmetry is C2/m (12). The value obtained for the magnetic moment is 0.0 μB/f.u.

Geometry as Quantum ESPRESSO input:
```
&SYSTEM
  ibrav = 0, nat = 4, ntyp = 3
/
ATOMIC_SPECIES
Ba 137.33 Ba.upf
W 183.84 W.upf
Ni 58.69 Ni.upf
CELL_PARAMETERS angstrom
4.534 0.002 0.008
-2.264 5.916 0.005
0.006 0.812 3.001
ATOMIC_POSITIONS angstrom
Ba -1.129 3.364 1.503
W 2.270 0.407 1.504
W 0.000 0.000 0.000
Ni 1.135 2.959 0.006
```

Arrangement b

# BaNiW2

Crystalline BaNiW2 at its relaxed geometry (PBE, Alexandria). Values from VASP.

Computed properties:
The symmetry is P2/m (10). The value obtained for the magnetic moment is 0.0 μB/f.u.

Geometry as Quantum ESPRESSO input:
```
&SYSTEM
  ibrav = 0, nat = 4, ntyp = 3
/
ATOMIC_SPECIES
W 183.84 W.upf
Ni 58.69 Ni.upf
Ba 137.33 Ba.upf
CELL_PARAMETERS angstrom
-3.057 1.363 -2.919
-1.710 -2.719 0.521
-4.061 1.773 5.079
ATOMIC_POSITIONS angstrom
W -3.441 -0.427 3.403
W -5.215 -0.993 4.997
Ni -5.856 -0.028 2.740
Ba -2.971 0.445 -0.060
```

Arrangement c

# BaNiW2

Crystalline BaNiW2 at its relaxed geometry (PBE, Alexandria). Values from VASP.

Computed properties:
The symmetry is F-43m (216). The value obtained for the magnetic moment is 0.0 μB/f.u.

Geometry as Quantum ESPRESSO input:
```
&SYSTEM
  ibrav = 0, nat = 4, ntyp = 3
/
ATOMIC_SPECIES
Ni 58.69 Ni.upf
W 183.84 W.upf
Ba 137.33 Ba.upf
CELL_PARAMETERS angstrom
4.759 0.000 0.000
2.380 4.122 0.000
2.380 1.374 3.886
ATOMIC_POSITIONS angstrom
Ni 7.139 4.122 2.914
W 0.000 0.000 0.000
W 2.380 1.374 0.971
Ba 4.759 2.748 1.943
```

Arrangement d

# BaNiW2

Crystalline BaNiW2 at its relaxed geometry (PBE, Alexandria). Values from VASP.

Computed properties:
The symmetry is R-3m (166). The value obtained for the magnetic moment is 0.0 μB/f.u.

Geometry as Quantum ESPRESSO input:
```
&SYSTEM
  ibrav = 0, nat = 4, ntyp = 3
/
ATOMIC_SPECIES
Ba 137.33 Ba.upf
W 183.84 W.upf
Ni 58.69 Ni.upf
CELL_PARAMETERS angstrom
10.516 0.025 0.015
10.100 2.932 0.015
10.100 1.449 2.549
ATOMIC_POSITIONS angstrom
Ba 7.679 1.101 0.645
W 0.567 0.081 0.048
W 14.791 2.121 1.242
Ni 23.037 3.304 1.934
```

Least stable: arrangement a

Arrangement a

# BaNiW2

Crystalline BaNiW2 at its relaxed geometry (PBE, Alexandria). Values from VASP.

Computed properties:
The symmetry is Cmm2 (35). The value obtained for the magnetic moment is 0.0 μB/f.u.

Geometry as Quantum ESPRESSO input:
```
&SYSTEM
  ibrav = 0, nat = 4, ntyp = 3
/
ATOMIC_SPECIES
W 183.84 W.upf
Ni 58.69 Ni.upf
Ba 137.33 Ba.upf
CELL_PARAMETERS angstrom
2.983 0.063 0.000
-0.771 2.883 0.000
0.000 0.000 9.096
ATOMIC_POSITIONS angstrom
W 1.106 1.473 1.758
W 0.000 0.000 8.937
Ni 1.106 1.473 7.319
Ba 0.000 0.000 4.725
```

Arrangement b

# BaNiW2

Crystalline BaNiW2 at its relaxed geometry (PBE, Alexandria). Values from VASP.

Computed properties:
The symmetry is I4_1/amd (141). The value obtained for the magnetic moment is 0.0 μB/f.u.

Geometry as Quantum ESPRESSO input:
```
&SYSTEM
  ibrav = 0, nat = 8, ntyp = 3
/
ATOMIC_SPECIES
W 183.84 W.upf
Ni 58.69 Ni.upf
Ba 137.33 Ba.upf
CELL_PARAMETERS angstrom
4.954 0.000 0.000
0.000 4.954 0.000
2.477 2.477 8.652
ATOMIC_POSITIONS angstrom
W 6.192 4.955 6.489
W 3.715 4.952 6.489
W 2.475 3.715 2.163
W 2.478 1.238 2.163
Ni 2.477 4.954 4.326
Ni 2.477 2.477 0.000
Ba 0.000 0.000 0.000
Ba 4.954 2.477 4.326
```

Least stable: arrangement b

Arrangement a

# BaNiW2

Crystalline BaNiW2 at its relaxed geometry (PBE, Alexandria). Values from VASP.

Computed properties:
The symmetry is Imm2 (44). The value obtained for the magnetic moment is 0.0 μB/f.u.

Geometry as Quantum ESPRESSO input:
```
&SYSTEM
  ibrav = 0, nat = 4, ntyp = 3
/
ATOMIC_SPECIES
W 183.84 W.upf
Ni 58.69 Ni.upf
Ba 137.33 Ba.upf
CELL_PARAMETERS angstrom
-5.810 -0.500 0.700
-1.377 -1.300 5.559
2.197 3.805 -3.897
ATOMIC_POSITIONS angstrom
W -3.968 1.111 0.284
W -0.001 0.000 0.001
Ni -1.073 0.881 2.123
Ba -3.541 -0.887 3.084
```

Arrangement b

# BaNiW2

Crystalline BaNiW2 at its relaxed geometry (PBE, Alexandria). Values from VASP.

Computed properties:
The symmetry is Pmmm (47). The value obtained for the magnetic moment is 0.0 μB/f.u.

Geometry as Quantum ESPRESSO input:
```
&SYSTEM
  ibrav = 0, nat = 4, ntyp = 3
/
ATOMIC_SPECIES
W 183.84 W.upf
Ba 137.33 Ba.upf
Ni 58.69 Ni.upf
CELL_PARAMETERS angstrom
3.072 0.000 0.000
0.000 4.627 0.000
0.000 0.000 5.592
ATOMIC_POSITIONS angstrom
W 1.536 2.313 0.000
W 0.000 0.000 0.000
Ba 1.536 0.000 2.796
Ni 0.000 2.313 2.796
```

Least stable: arrangement b

Arrangement a

# BaNiW3

Crystalline BaNiW3 at its relaxed geometry (PBE, Alexandria). Values from VASP.

Computed properties:
The symmetry is Pm-3m (221). The value obtained for the magnetic moment is 0.0 μB/f.u.

Geometry as Quantum ESPRESSO input:
```
&SYSTEM
  ibrav = 0, nat = 5, ntyp = 3
/
ATOMIC_SPECIES
W 183.84 W.upf
Ni 58.69 Ni.upf
Ba 137.33 Ba.upf
CELL_PARAMETERS angstrom
4.929 0.000 0.000
0.000 4.929 0.000
0.000 0.000 4.929
ATOMIC_POSITIONS angstrom
W 0.000 0.000 2.465
W 0.000 2.465 0.000
W 2.465 0.000 0.000
Ni 2.465 2.465 2.465
Ba 0.000 0.000 0.000
```

Arrangement b

# BaNiW3

Crystalline BaNiW3 at its relaxed geometry (PBE, Alexandria). Values from VASP.

Computed properties:
The symmetry is Pm-3m (221). The value obtained for the magnetic moment is 1.7 μB/f.u.

Geometry as Quantum ESPRESSO input:
```
&SYSTEM
  ibrav = 0, nat = 5, ntyp = 3
/
ATOMIC_SPECIES
Ni 58.69 Ni.upf
W 183.84 W.upf
Ba 137.33 Ba.upf
CELL_PARAMETERS angstrom
4.744 0.000 0.000
0.000 4.744 0.000
0.000 0.000 4.744
ATOMIC_POSITIONS angstrom
Ni 0.000 0.000 0.000
W 0.000 0.000 2.372
W 0.000 2.372 0.000
W 2.372 0.000 0.000
Ba 2.372 2.372 2.372
```

Least stable: arrangement a